No. 1
# Ac2ErPb2 GGA-PBE optimized geometry
# energy of formation from the pure elements = -0.4973 eV/atom
# raw total energy = -4.54 eV/atom
# M_tot = 0.00 Bohr magnetons per cell
data_Ac2ErPb2
_symmetry_space_group_name_H-M 'P 4/m b m'
_symmetry_Int_Tables_number 127
_symmetry_space_group_name_Hall '-P 4 2ab'
_cell_length_a 8.440
_cell_length_b 8.440
_cell_length_c 4.994
_cell_angle_alpha 90.00
_cell_angle_beta 90.00
_cell_angle_gamma 90.00
loop_
_atom_site_label
_atom_site_type_symbol
_atom_site_fract_x
_atom_site_fract_y
_atom_site_fract_z
Ac1 Ac 0.171 0.329 0.000
Er1 Er 0.000 0.000 0.500
Pb1 Pb 0.135 0.635 0.500

***

No. 2
# Ac4ErPb2 GGA-PBE optimized geometry
# energy of formation from the pure elements = -0.1739 eV/atom
# raw total energy = -4.23 eV/atom
# M_tot = 0.00 Bohr magnetons per cell
data_Ac4ErPb2
_symmetry_space_group_name_H-M 'P 1'
_symmetry_Int_Tables_number 1
_symmetry_space_group_name_Hall 'P 1'
_cell_length_a 7.383
_cell_length_b 7.821
_cell_length_c 10.021
_cell_angle_alpha 89.72
_cell_angle_beta 76.68
_cell_angle_gamma 74.96
loop_
_atom_site_label
_atom_site_type_symbol
_atom_site_fract_x
_atom_site_fract_y
_atom_site_fract_z
Ac1 Ac 0.000 0.000 0.000
Ac2 Ac 0.008 0.721 0.338
Ac3 Ac 0.272 0.408 0.579
Ac4 Ac 0.331 0.910 0.543
Ac5 Ac 0.477 0.355 0.084
Ac6 Ac 0.519 0.856 0.117
Ac7 Ac 0.792 0.281 0.637
Ac8 Ac 0.983 0.477 0.985
Er1 Er 0.413 0.668 0.824
Er2 Er 0.843 0.788 0.728
Pb1 Pb 0.112 0.208 0.303
Pb2 Pb 0.428 0.095 0.824
Pb3 Pb 0.636 0.532 0.339
Pb4 Pb 0.671 0.113 0.340